First-principles (PBE) data for a relaxed Pm7SiBr12 crystal, as listed in the Alexandria database.

```
20
Lattice="-6.121 7.058 0.933 -1.594 -4.078 -8.305 -1.887 -6.315 6.687" Properties=species:S:1:pos:R:3 pbc="T T T"
Pm -0.917 -1.767 -1.934
Pm -8.281 -1.921 -2.676
Pm -7.391 -4.971 -0.311
Pm -1.320 -1.414 1.990
Pm -8.684 -1.568 1.249
Pm -2.211 1.636 -0.374
Pm -4.801 -1.667 -0.343
Br -2.484 -3.418 0.056
Br -3.859 0.202 1.709
Br -5.742 -3.537 -2.394
Br -7.118 0.083 -0.741
Br -6.172 -3.156 1.777
Br -2.822 -3.053 4.177
Br -4.875 -6.777 0.052
Br -3.429 -0.179 -2.462
Br -6.780 -0.282 -4.862
Br -7.599 0.371 3.436
Br -2.003 -3.706 -4.121
Br -4.727 3.442 -0.737
Si 0.000 0.000 0.000
```

Properties
raw formation energy: -1.657 eV/atom
calculated volume: 33.80 Å³ per atom
symmetry: R-3
Fermi-level density of states: 10.23 states/eV per cell